[1]
DFT (PBE-GGA) results for a relaxed Cs2VSiBr6 crystal.

## Properties
Magnetic moment   0.30 μB/atom
Theoretical density   4.238 g/cm³
Total DFT energy (no corrections)   -3.66 eV per atom
DOS at the Fermi energy   0.00 states/eV/f.u.

a = 7.702 Å, b = 7.702 Å, c = 7.701 Å
α = 60.00°, β = 60.00°, γ = 90.00°
Site moments in Bohr magnetons follow the coordinates.
Positions (direct):
Si: 0.500 0.500 0.000  -0.01
V: 0.000 0.000 0.000  2.61
Cs: 0.250 0.750 0.500  0.00
Br: 0.754 0.754 0.493  0.00
Br: 0.754 0.246 0.000  0.00
Br: 0.246 0.754 0.000  0.00
Br: 0.246 0.246 0.507  0.00
Br: 0.246 0.246 0.000  0.00
Br: 0.754 0.754 0.000  0.00
Cs: 0.750 0.250 0.500  0.00

[2]
DFT (PBE-GGA) results for a relaxed Ce3Co3B8 crystal.

## Properties
Energy of formation from the pure elements   -262 meV/atom
Magnetic moment   0.00 μB/atom
Theoretical density   7.418 g/cm³
Total DFT energy (no corrections)   -6.87 eV per atom
DOS at the Fermi energy   11.51 states/eV/f.u.

a = 3.238 Å, b = 7.069 Å, c = 7.069 Å
α = 83.46°, β = 76.76°, γ = 76.76°
Positions (direct):
B: 0.818 0.882 0.482
B: 0.636 0.087 0.642
B: 0.182 0.518 0.118
Ce: 0.500 0.500 0.500
B: 0.636 0.642 0.087
Co: 0.500 0.000 0.000
Co: 0.000 0.788 0.212
Co: 0.000 0.212 0.788
B: 0.182 0.118 0.518
B: 0.364 0.913 0.358
Ce: 0.211 0.789 0.789
B: 0.364 0.358 0.913
Ce: 0.789 0.211 0.211
B: 0.818 0.482 0.882

Among the records above, which one has the lowest magnetic moment?
Ce3Co3B8

Repeat the first record exactly.
DFT (PBE-GGA) results for a relaxed Cs2VSiBr6 crystal.

## Properties
Magnetic moment   0.30 μB/atom
Theoretical density   4.238 g/cm³
Total DFT energy (no corrections)   -3.66 eV per atom
DOS at the Fermi energy   0.00 states/eV/f.u.

a = 7.702 Å, b = 7.702 Å, c = 7.701 Å
α = 60.00°, β = 60.00°, γ = 90.00°
Site moments in Bohr magnetons follow the coordinates.
Positions (direct):
Si: 0.500 0.500 0.000  -0.01
V: 0.000 0.000 0.000  2.61
Cs: 0.250 0.750 0.500  0.00
Br: 0.754 0.754 0.493  0.00
Br: 0.754 0.246 0.000  0.00
Br: 0.246 0.754 0.000  0.00
Br: 0.246 0.246 0.507  0.00
Br: 0.246 0.246 0.000  0.00
Br: 0.754 0.754 0.000  0.00
Cs: 0.750 0.250 0.500  0.00

Look up the DOS at the Fermi energy of the second one.
11.51 states/eV/f.u.

theoretical density of number 1 (Cs2VSiBr6)?
4.238 g/cm³